(1)
## HSe (PBE-GGA)

Data for crystalline HSe at its relaxed geometry.

Calculated values
**Energy relative to the lowest polymorph listed for this composition**: 124.5 meV/atom
**Symmetry**: Imm2, No. 44

Cell lengths 2.7015, 4.3973, 6.5887 Å; angles 90.00, 90.00, 90.00 degrees
With the nearest neighbours (Å) after each atom.
Positions (direct):
1 H 0.0000 0.0000 0.0000  1 Se 1.49
2 H 0.5000 0.5000 0.5000  1 Se 1.49
3 Se 0.0000 0.0000 0.7738  1 H 1.49
4 Se 0.5000 0.5000 0.2738  1 H 1.49


(2)
## HSe (PBE-GGA)

Data for crystalline HSe at its relaxed geometry.

Calculated values
**Energy relative to the lowest polymorph listed for this composition**: 542.2 meV/atom
**Symmetry**: P4_2/mnm, No. 136

Cell lengths 6.2816, 6.2816, 3.1432 Å; angles 90.00, 90.00, 90.00 degrees
With the nearest neighbours (Å) after each atom.
Positions (direct):
1 H 0.1466 0.1466 0.0000  2 Se 1.73
2 H 0.3534 0.6466 0.5000  2 Se 1.73
3 H 0.6466 0.3534 0.5000  2 Se 1.73
4 H 0.8534 0.8534 0.0000  2 Se 1.73
5 Se 0.2267 0.2267 0.5000  2 H 1.73
6 Se 0.2733 0.7267 0.0000  2 H 1.73
7 Se 0.7267 0.2733 0.0000  2 H 1.73
8 Se 0.7733 0.7733 0.5000  2 H 1.73


(3)
## HSe (PBE-GGA)

Data for crystalline HSe at its relaxed geometry.

Calculated values
**Energy relative to the lowest polymorph listed for this composition**: 80.4 meV/atom
**Symmetry**: Pmn2_1, No. 31

Cell lengths 7.8797, 4.2070, 8.9490 Å; angles 90.00, 90.00, 90.00 degrees
With the nearest neighbours (Å) after each atom.
Positions (direct):
1 H 0.0000 0.1173 0.0000  1 Se 1.49
2 H 0.1832 0.8991 0.7237  1 Se 1.49
3 H 0.3168 0.1009 0.2237  1 Se 1.49
4 H 0.5000 0.8827 0.5000  1 Se 1.49
5 H 0.6832 0.1009 0.2237  1 Se 1.49
6 H 0.8168 0.8991 0.7237  1 Se 1.49
7 Se 0.0000 0.7980 0.0725  1 H 1.49
8 Se 0.1765 0.2055 0.6407  1 H 1.49
9 Se 0.3235 0.7945 0.1407  1 H 1.49
10 Se 0.5000 0.2020 0.5725  1 H 1.49
11 Se 0.6765 0.7945 0.1407  1 H 1.49
12 Se 0.8235 0.2055 0.6407  1 H 1.49


(4)
## HSe (PBE-GGA)

Data for crystalline HSe at its relaxed geometry.

Calculated values
**Energy relative to the lowest polymorph listed for this composition**: 46.7 meV/atom
**Symmetry**: P-1, No. 2

Cell lengths 2.7616, 4.7408, 6.3628 Å; angles 111.63, 90.19, 90.22 degrees
With the nearest neighbours (Å) after each atom.
Positions (direct):
1 H 0.0737 0.0690 0.0049  1 H 0.75
2 H 0.9263 0.9310 0.9951  1 H 0.75
3 Se 0.4991 0.7084 0.4175  4 Se 2.56-2.76
4 Se 0.5009 0.2916 0.5825  4 Se 2.56-2.76


(5)
## SiHSe (PBE-GGA)

Data for crystalline SiHSe at its relaxed geometry.

Calculated values
**Total energy**: -4.302 eV/atom
**Symmetry**: P-1, No. 2

Cell lengths 3.5188, 5.5140, 7.4485 Å; angles 100.64, 103.03, 91.42 degrees
With the nearest neighbours (Å) after each atom.
Positions (direct):
1 Si 0.0754 0.4917 0.1597  1 H 1.50
2 Si 0.9246 0.5083 0.8403  1 H 1.50
3 H 0.0784 0.2302 0.1884  1 Si 1.50
4 H 0.9216 0.7698 0.8116  1 Si 1.50
5 Se 0.3429 0.2825 0.6874  2 Si 2.31
6 Se 0.6571 0.7175 0.3126  2 Si 2.31


(6)
## SiHSe (PBE-GGA)

Data for crystalline SiHSe at its relaxed geometry.

Calculated values
**Total energy**: -4.078 eV/atom
**Symmetry**: P4mm, No. 99

Cell lengths 3.4501, 3.4501, 4.8104 Å; angles 90.00, 90.00, 90.00 degrees
With the nearest neighbours (Å) after each atom.
Positions (direct):
1 Si 0.0000 0.0000 0.0000  1 H 1.51
2 H 0.0000 0.0000 0.3130  1 Si 1.51
3 Se 0.5000 0.5000 0.8587  4 Si 2.53